# 1
Rb4Pm3MnS8 | PBE-GGA | relaxed

CIF file:
```
data_Rb4Pm3MnS8
_space_group_name_H-M_alt 'C 1 2/m 1'
_space_group_IT_number 12
_space_group_name_Hall '-C 2y'
_cell_length_a 14.4383
_cell_length_b 8.0902
_cell_length_c 9.0225
_cell_angle_alpha 90.00
_cell_angle_beta 121.35
_cell_angle_gamma 90.00
loop_
_atom_site_label
_atom_site_type_symbol
_atom_site_fract_x
_atom_site_fract_y
_atom_site_fract_z
Rb1 Rb 0.0000 0.0000 0.0000
Rb2 Rb 0.0000 0.5000 0.0000
Rb3 Rb 0.2500 0.2500 0.0000
Pm1 Pm 0.0000 0.0000 0.5000
Pm2 Pm 0.2500 0.2500 0.5000
Mn1 Mn 0.0000 0.5000 0.5000
S1 S 0.0159 0.2813 0.3235
S2 S 0.2295 0.0000 0.6988
S3 S 0.2468 0.5000 0.7102
```

Values from the calculation:
uncorrected formation energy = -1.5142 eV per atom
total magnetization = 7.97 μB per cell
raw total energy = -5.28 eV per atom
crystal system = monoclinic

=====

# 2
MgTaMn2Fe | PBE-GGA | relaxed

CIF file:
```
data_MgTaMn2Fe
_space_group_name_H-M_alt 'P 4/m m m'
_space_group_IT_number 123
_space_group_name_Hall '-P 4 2'
_cell_length_a 4.2744
_cell_length_b 4.2744
_cell_length_c 4.4016
_cell_angle_alpha 90.00
_cell_angle_beta 90.00
_cell_angle_gamma 90.00
loop_
_atom_site_label
_atom_site_type_symbol
_atom_site_fract_x
_atom_site_fract_y
_atom_site_fract_z
Mg1 Mg 0.0000 0.0000 0.0000
Ta1 Ta 0.5000 0.5000 0.0000
Mn1 Mn 0.0000 0.5000 0.5000
Fe1 Fe 0.0000 0.0000 0.5000
```

Values from the calculation:
total magnetization = 2.25 μB per cell
raw total energy = -7.00 eV per atom
crystal system = tetragonal
DFT formation energy = 1052 meV/atom

=====

# 3
Cd2AgHg | PBE-GGA | relaxed

CIF file:
```
data_Cd2AgHg
_space_group_name_H-M_alt 'P 4/m m m'
_space_group_IT_number 123
_space_group_name_Hall '-P 4 2'
_cell_length_a 4.4431
_cell_length_b 4.4431
_cell_length_c 4.2865
_cell_angle_alpha 90.00
_cell_angle_beta 90.00
_cell_angle_gamma 90.00
loop_
_atom_site_label
_atom_site_type_symbol
_atom_site_fract_x
_atom_site_fract_y
_atom_site_fract_z
Cd1 Cd 0.0000 0.5000 0.0000
Ag1 Ag 0.0000 0.0000 0.5000
Hg1 Hg 0.5000 0.5000 0.5000
```

Values from the calculation:
total magnetization = 0.00 μB per cell
raw total energy = -1.23 eV per atom
crystal system = tetragonal
DFT formation energy = 21 meV/atom

=====

# 4
Ti3PbO7 | PBE-GGA | relaxed

CIF file:
```
data_Ti3PbO7
_space_group_name_H-M_alt 'P 1 21/m 1'
_space_group_IT_number 11
_space_group_name_Hall '-P 2yb'
_cell_length_a 6.6983
_cell_length_b 3.8302
_cell_length_c 10.8818
_cell_angle_alpha 90.00
_cell_angle_beta 98.11
_cell_angle_gamma 90.00
loop_
_atom_site_label
_atom_site_type_symbol
_atom_site_fract_x
_atom_site_fract_y
_atom_site_fract_z
Ti1 Ti 0.0517 0.2500 0.3980
Ti2 Ti 0.1950 0.2500 0.0667
Ti3 Ti 0.2462 0.7500 0.8458
Pb1 Pb 0.4987 0.2500 0.6499
O1 O 0.0244 0.7500 0.4271
O2 O 0.0638 0.2500 0.2134
O3 O 0.1454 0.7500 0.0218
O4 O 0.2471 0.2500 0.8845
O5 O 0.2485 0.7500 0.6776
O6 O 0.3304 0.2500 0.4410
O7 O 0.4540 0.2500 0.1316
```

Values from the calculation:
uncorrected formation energy = -2.7098 eV per atom
total magnetization = 0.00 μB per cell
raw total energy = -8.36 eV per atom
crystal system = monoclinic

=====

# 5
Ca3TlOs | PBE-GGA | relaxed

CIF file:
```
data_Ca3TlOs
_space_group_name_H-M_alt 'P m -3 m'
_space_group_IT_number 221
_space_group_name_Hall '-P 4 2 3'
_cell_length_a 5.4937
_cell_length_b 5.4937
_cell_length_c 5.4937
_cell_angle_alpha 90.00
_cell_angle_beta 90.00
_cell_angle_gamma 90.00
loop_
_atom_site_label
_atom_site_type_symbol
_atom_site_fract_x
_atom_site_fract_y
_atom_site_fract_z
Ca1 Ca 0.0000 0.0000 0.5000
Tl1 Tl 0.5000 0.5000 0.5000
Os1 Os 0.0000 0.0000 0.0000
```

Values from the calculation:
total magnetization = 0.16 μB per cell
ΔE to the lowest computed polymorph = 0 meV per atom
raw total energy = -3.67 eV per atom
crystal system = cubic
DFT formation energy = 253 meV/atom

=====

# 6
Cs4In2S5 | PBE-GGA | relaxed

CIF file:
```
data_Cs4In2S5
_space_group_name_H-M_alt 'P -1'
_space_group_IT_number 2
_space_group_name_Hall '-P 1'
_cell_length_a 7.9928
_cell_length_b 9.9421
_cell_length_c 11.3108
_cell_angle_alpha 72.79
_cell_angle_beta 70.42
_cell_angle_gamma 84.08
loop_
_atom_site_label
_atom_site_type_symbol
_atom_site_fract_x
_atom_site_fract_y
_atom_site_fract_z
Cs1 Cs 0.0030 0.2913 0.4155
Cs2 Cs 0.0504 0.6884 0.0411
Cs3 Cs 0.2684 0.9751 0.1599
Cs4 Cs 0.3869 0.3191 0.5972
In1 In 0.3811 0.9115 0.6651
In2 In 0.4666 0.4930 0.1592
S1 S 0.2275 0.0177 0.8403
S2 S 0.2490 0.6047 0.3103
S3 S 0.2981 0.0144 0.4560
S4 S 0.3222 0.6501 0.7271
S5 S 0.3345 0.3551 0.0563
```

Values from the calculation:
uncorrected formation energy = -1.0362 eV per atom
total magnetization = 0.21 μB per cell
raw total energy = -3.72 eV per atom
crystal system = triclinic

=====

# 7
Ac2YSi | PBE-GGA | relaxed

CIF file:
```
data_Ac2YSi
_space_group_name_H-M_alt 'P 4/m m m'
_space_group_IT_number 123
_space_group_name_Hall '-P 4 2'
_cell_length_a 5.0774
_cell_length_b 5.0774
_cell_length_c 4.8671
_cell_angle_alpha 90.00
_cell_angle_beta 90.00
_cell_angle_gamma 90.00
loop_
_atom_site_label
_atom_site_type_symbol
_atom_site_fract_x
_atom_site_fract_y
_atom_site_fract_z
Ac1 Ac 0.0000 0.5000 0.0000
Y1 Y 0.0000 0.0000 0.5000
Si1 Si 0.5000 0.5000 0.5000
```

Values from the calculation:
uncorrected formation energy = -0.0771 eV per atom
total magnetization = 0.00 μB per cell
ΔE to the lowest computed polymorph = 0 meV per atom
raw total energy = -5.10 eV per atom
crystal system = tetragonal

=====

# 8
Y2Ga2Pb | PBE-GGA | relaxed

CIF file:
```
data_Y2Ga2Pb
_space_group_name_H-M_alt 'P 4/m b m'
_space_group_IT_number 127
_space_group_name_Hall '-P 4 2ab'
_cell_length_a 8.4738
_cell_length_b 8.4738
_cell_length_c 3.5960
_cell_angle_alpha 90.00
_cell_angle_beta 90.00
_cell_angle_gamma 90.00
loop_
_atom_site_label
_atom_site_type_symbol
_atom_site_fract_x
_atom_site_fract_y
_atom_site_fract_z
Y1 Y 0.1391 0.3609 0.0000
Ga1 Ga 0.1679 0.6679 0.5000
Pb1 Pb 0.0000 0.0000 0.0000
```

Values from the calculation:
total magnetization = 0.00 μB per cell
ΔE to the lowest computed polymorph = 281 meV per atom
raw total energy = -4.84 eV per atom
crystal system = tetragonal
DFT formation energy = -301 meV/atom

=====

# 9
Na6HgF8 | PBE-GGA | relaxed

CIF file:
```
data_Na6HgF8
_space_group_name_H-M_alt 'F m -3 m'
_space_group_IT_number 225
_space_group_name_Hall '-F 4 2 3'
_cell_length_a 9.5411
_cell_length_b 9.5411
_cell_length_c 9.5411
_cell_angle_alpha 90.00
_cell_angle_beta 90.00
_cell_angle_gamma 90.00
loop_
_atom_site_label
_atom_site_type_symbol
_atom_site_fract_x
_atom_site_fract_y
_atom_site_fract_z
Na1 Na 0.0000 0.2500 0.2500
Hg1 Hg 0.0000 0.0000 0.0000
F1 F 0.0000 0.0000 0.2428
F2 F 0.2500 0.2500 0.2500
```

Values from the calculation:
uncorrected formation energy = -2.4529 eV per atom
total magnetization = 0.00 μB per cell
raw total energy = -4.00 eV per atom
crystal system = cubic

=====

# 10
ZnBiIr | PBE-GGA | relaxed

CIF file:
```
data_ZnBiIr
_space_group_name_H-M_alt 'P 4/n m m'
_space_group_IT_number 129
_cell_length_a 3.9027
_cell_length_b 3.9027
_cell_length_c 7.5145
_cell_angle_alpha 90.00
_cell_angle_beta 90.00
_cell_angle_gamma 90.00
loop_
_space_group_symop_operation_xyz
'x,y,z'
'-x,-y,-z'
'-y+1/2,x,z'
'y+1/2,-x,-z'
'-x+1/2,-y+1/2,z'
'x+1/2,y+1/2,-z'
'y,-x+1/2,z'
'-y,x+1/2,-z'
'x+1/2,-y,-z'
'-x+1/2,y,z'
'-y,-x,-z'
'y,x,z'
'-x,y+1/2,-z'
'x,-y+1/2,z'
'y+1/2,x+1/2,-z'
'-y+1/2,-x+1/2,z'
loop_
_atom_site_label
_atom_site_type_symbol
_atom_site_fract_x
_atom_site_fract_y
_atom_site_fract_z
Zn1 Zn 0.2500 0.7500 0.0000
Bi1 Bi 0.2500 0.2500 0.3567
Ir1 Ir 0.2500 0.2500 0.7542
```

Values from the calculation:
total magnetization = 0.00 μB per cell
ΔE to the lowest computed polymorph = 34 meV per atom
raw total energy = -4.69 eV per atom
crystal system = tetragonal
DFT formation energy = -14 meV/atom

=====

# 11
K2Au | PBE-GGA | relaxed

CIF file:
```
data_K2Au
_space_group_name_H-M_alt 'P 6/m m m'
_space_group_IT_number 191
_space_group_name_Hall '-P 6 2'
_cell_length_a 5.6580
_cell_length_b 5.6580
_cell_length_c 3.7574
_cell_angle_alpha 90.00
_cell_angle_beta 90.00
_cell_angle_gamma 120.00
loop_
_atom_site_label
_atom_site_type_symbol
_atom_site_fract_x
_atom_site_fract_y
_atom_site_fract_z
K1 K 0.3333 0.6667 0.0000
Au1 Au 0.0000 0.0000 0.5000
```

Values from the calculation:
total magnetization = 0.00 μB per cell
raw total energy = -1.87 eV per atom
crystal system = hexagonal
DFT formation energy = -50 meV/atom

=====

# 12
Mg6FeNi | PBE-GGA | relaxed

CIF file:
```
data_Mg6FeNi
_space_group_name_H-M_alt 'A m m 2'
_space_group_IT_number 38
_space_group_name_Hall 'A 2 -2'
_cell_length_a 4.7084
_cell_length_b 5.9545
_cell_length_c 10.4382
_cell_angle_alpha 90.00
_cell_angle_beta 90.00
_cell_angle_gamma 90.00
loop_
_atom_site_label
_atom_site_type_symbol
_atom_site_fract_x
_atom_site_fract_y
_atom_site_fract_z
Mg1 Mg 0.0000 0.0000 0.0000
Mg2 Mg 0.0000 0.0000 0.4971
Mg3 Mg 0.0000 0.2492 0.2332
Mg4 Mg 0.5000 0.2497 0.4016
Fe1 Fe 0.5000 0.0000 0.6499
Ni1 Ni 0.5000 0.0000 0.1524
```

Values from the calculation:
total magnetization = 5.63 μB per cell
ΔE to the lowest computed polymorph = 44 meV per atom
raw total energy = -2.82 eV per atom
crystal system = orthorhombic
DFT formation energy = 155 meV/atom

=====

- Number 8 is which compound?
  Y2Ga2Pb

=====

Please write out number 11 again, unchanged.
K2Au | PBE-GGA | relaxed

CIF file:
```
data_K2Au
_space_group_name_H-M_alt 'P 6/m m m'
_space_group_IT_number 191
_space_group_name_Hall '-P 6 2'
_cell_length_a 5.6580
_cell_length_b 5.6580
_cell_length_c 3.7574
_cell_angle_alpha 90.00
_cell_angle_beta 90.00
_cell_angle_gamma 120.00
loop_
_atom_site_label
_atom_site_type_symbol
_atom_site_fract_x
_atom_site_fract_y
_atom_site_fract_z
K1 K 0.3333 0.6667 0.0000
Au1 Au 0.0000 0.0000 0.5000
```

Values from the calculation:
total magnetization = 0.00 μB per cell
raw total energy = -1.87 eV per atom
crystal system = hexagonal
DFT formation energy = -50 meV/atom